VASP calculation (PBE) on an optimized crystal structure of Mg3PbCl.

## Properties
raw formation energy	-0.03	eV/atom
energy above the lowest structure with this stoichiometry	0.000	eV/atom
SG	Pm-3m (221)

```
Mg3PbCl
1.0
5.0685 0.0000 0.0000
0.0000 5.0685 0.0000
0.0000 0.0000 5.0685
Mg Pb Cl
3 1 1
direct
0.0000 0.0000 0.5000 Mg
0.0000 0.5000 0.0000 Mg
0.5000 0.0000 0.0000 Mg
0.5000 0.5000 0.5000 Pb
0.0000 0.0000 0.0000 Cl
```